1.
Entry from the Alexandria database: crystalline BaAcCuS4 at its relaxed geometry (PBE).

- raw formation energy (meV per atom) = -1359
- SG = No. 63
- total moment (μB/cell) = 0.0
- DFT total energy (eV per atom) = -5.164

Unit cell a=9.1925 b=9.1925 c=6.2369 alpha=90.00 beta=90.00 gamma=140.11
Fractional coordinates of all 14 atoms:
Ba1 0.1069 0.8931 0.7500
Ba2 0.8931 0.1069 0.2500
Ac1 0.3932 0.6068 0.7500
Ac2 0.6068 0.3932 0.2500
Cu1 0.2117 0.7883 0.2500
Cu2 0.7883 0.2117 0.7500
S1 0.0000 0.5000 0.0000
S2 0.0000 0.5000 0.5000
S3 0.0771 0.9229 0.2500
S4 0.4357 0.5643 0.2500
S5 0.5000 0.0000 0.0000
S6 0.5000 0.0000 0.5000
S7 0.5643 0.4357 0.7500
S8 0.9229 0.0771 0.7500

***

2.
Entry from the Alexandria database: crystalline Rb2BaSbI6 at its relaxed geometry (PBE).

- raw formation energy (meV per atom) = -1016
- SG = No. 139
- total moment (μB/cell) = 1.0
- DFT total energy (eV per atom) = -2.744

Unit cell a=9.1941 b=9.1941 c=9.1941 alpha=118.82 beta=118.82 gamma=92.06
Fractional coordinates of all 10 atoms:
Rb1 0.2500 0.7500 0.5000
Rb2 0.7500 0.2500 0.5000
Ba1 0.0000 0.0000 0.0000
Sb1 0.5000 0.5000 0.0000
I1 0.2550 0.2550 0.5100
I2 0.2550 0.7450 0.0000
I3 0.2649 0.2649 0.0000
I4 0.7351 0.7351 0.0000
I5 0.7450 0.2550 0.0000
I6 0.7450 0.7450 0.4900

***

3.
Entry from the Alexandria database: crystalline LiS at its relaxed geometry (PBE).

- raw formation energy (meV per atom) = -632
- SG = No. 119
- total moment (μB/cell) = 0.0
- relative energy among the computed polymorphs (kJ/mol of atoms) = 25.8
- DFT total energy (eV per atom) = -3.652

Unit cell a=4.3169 b=4.3169 c=4.3169 alpha=139.60 beta=139.60 gamma=58.46
Fractional coordinates of all 2 atoms:
Li1 0.0000 0.0000 0.0000
S1 0.2500 0.7500 0.5000

***

4.
Entry from the Alexandria database: crystalline LaCe2Si at its relaxed geometry (PBE).

- raw formation energy (meV per atom) = -282
- SG = No. 123
- total moment (μB/cell) = 1.5
- relative energy among the computed polymorphs (kJ/mol of atoms) = 9.9
- DFT total energy (eV per atom) = -5.837

Unit cell a=3.8448 b=3.8448 c=7.4275 alpha=90.00 beta=90.00 gamma=90.00
Fractional coordinates of all 4 atoms:
La1 0.0000 0.0000 0.0000
Ce1 0.5000 0.5000 0.3157
Ce2 0.5000 0.5000 0.6843
Si1 0.0000 0.0000 0.5000

***

5.
Entry from the Alexandria database: crystalline K4BeCl at its relaxed geometry (PBE).

- raw formation energy (meV per atom) = 289
- SG = No. 216
- total moment (μB/cell) = 0.0
- DFT total energy (eV per atom) = -1.371

Unit cell a=7.6990 b=7.6990 c=7.6990 alpha=60.00 beta=60.00 gamma=60.00
Fractional coordinates of all 6 atoms:
K1 0.1254 0.1254 0.1254
K2 0.1254 0.1254 0.6238
K3 0.1254 0.6238 0.1254
K4 0.6238 0.1254 0.1254
Be1 0.7500 0.7500 0.7500
Cl1 0.5000 0.5000 0.5000

***

6.
Entry from the Alexandria database: crystalline PmVIr at its relaxed geometry (PBE).

- SG = No. 156
- total moment (μB/cell) = 0.0
- DFT total energy (eV per atom) = -7.870
- calculated formation energy (eV/atom) = -0.294

Unit cell a=4.1185 b=4.1185 c=4.4882 alpha=90.00 beta=90.00 gamma=120.00
Fractional coordinates of all 3 atoms:
Pm1 0.0000 0.0000 0.0000
V1 0.3333 0.6667 0.4897
Ir1 0.6667 0.3333 0.5272